Computed, not measured: crystalline Cs2Hg6SbAu at its relaxed geometry at the PBE level of DFT.

Values from the calculation:
Raw formation energy in meV/atom: -175.6

Structure (POSCAR):
```
Cs2Hg6SbAu
1.0
-3.2159 4.0143 -4.1248
0.8961 -6.5204 -7.0421
-6.1479 -3.3324 -3.7172
Hg Cs Au Sb
6 2 1 1
direct
0.2368 0.7250 0.0190
0.7441 0.7252 0.0189
0.2573 0.4102 0.4857
0.2559 0.2748 0.9811
0.7427 0.5898 0.5143
0.7632 0.2750 0.9810
0.7342 0.1823 0.5315
0.2658 0.8177 0.4685
0.5000 0.5000 0.0000
0.0000 0.0000 0.0000
```

---

Computed, not measured: crystalline AlHg2Ge2 at its relaxed geometry at the PBE level of DFT.

Values from the calculation:
E above lowest polymorph in eV/atom: 0.139

Structure (POSCAR):
```
AlHg2Ge2
1.0
7.4995 0.0000 0.0000
0.0000 7.4995 0.0000
0.0000 0.0000 4.1000
Ge Al Hg
4 2 4
direct
0.1254 0.6254 0.5000
0.8746 0.3746 0.5000
0.6254 0.8746 0.5000
0.3746 0.1254 0.5000
0.5000 0.5000 0.0000
0.0000 0.0000 0.0000
0.1730 0.3270 0.0000
0.6730 0.1730 0.0000
0.3270 0.8270 0.0000
0.8270 0.6730 0.0000
```

---

Computed, not measured: crystalline Np2Se2S at its relaxed geometry at the PBE level of DFT.

Values from the calculation:
Raw formation energy in meV/atom: -1212.7
E above lowest polymorph in eV/atom: 0.000

Structure (POSCAR):
```
Np2Se2S
1.0
-1.4018 2.6716 -2.6286
-3.1453 -4.0475 -2.4364
-2.3750 2.0033 6.3483
Np Se S
2 2 1
direct
0.6548 0.1548 0.3096
0.3452 0.8452 0.6904
0.3221 0.3221 0.6443
0.6779 0.6779 0.3557
0.0000 0.0000 0.0000
```

---

Computed, not measured: crystalline Tc3HPd at its relaxed geometry at the PBE level of DFT.

Values from the calculation:
E above lowest polymorph in eV/atom: 2.606

Structure (POSCAR):
```
Tc3HPd
1.0
-1.9791 -4.4543 0.7887
0.6638 -1.1375 -4.7587
4.4746 -1.8014 1.0548
Tc H Pd
3 1 1
direct
0.0000 0.0000 0.5000
0.5000 0.0000 0.0000
0.0000 0.5000 0.0000
0.5000 0.5000 0.5000
0.0000 0.0000 0.0000
```

---

Computed, not measured: crystalline DyCu2Pd9 at its relaxed geometry at the PBE level of DFT.

Values from the calculation:
Uncorrected energy in eV per atom: -5.27

Structure (POSCAR):
```
DyCu2Pd9
1.0
-2.4185 -0.6141 3.1339
-2.0219 -2.7484 -2.0989
7.2320 -8.3355 3.9478
Pd Cu Dy
9 2 1
direct
0.0000 0.5000 0.8187
0.5000 0.5000 0.3406
0.5000 0.5000 0.6594
0.5000 0.0000 0.8187
0.5000 0.0000 0.5000
0.5000 0.5000 0.0000
0.0000 0.5000 0.1813
0.5000 0.0000 0.1813
0.0000 0.5000 0.5000
0.0000 0.0000 0.3426
0.0000 0.0000 0.6574
0.0000 0.0000 0.0000
```

---

Computed, not measured: crystalline CeDyGa2Cu2 at its relaxed geometry at the PBE level of DFT.

Values from the calculation:
Uncorrected energy in eV per atom: -4.58

Structure (POSCAR):
```
CeDyGa2Cu2
1.0
-1.0203 -0.2757 -4.2393
4.1364 -0.5567 1.2921
-1.1913 -7.1125 0.7493
Ce Cu Dy Ga
1 2 1 2
direct
0.0000 0.0000 0.0000
0.3333 0.6667 0.7340
0.6667 0.3333 0.2660
0.0000 0.0000 0.5000
0.6667 0.3333 0.7479
0.3333 0.6667 0.2521
```

---

Computed, not measured: crystalline Hg4AsI3 at its relaxed geometry at the PBE level of DFT.

Values from the calculation:
Raw formation energy in meV/atom: -131.5
E above lowest polymorph in eV/atom: 0.028

Structure (POSCAR):
```
Hg4AsI3
1.0
8.5542 -0.1387 -2.0519
-4.3334 7.3766 2.0519
-5.4488 -1.6722 6.7020
Hg I As
4 3 1
direct
0.2222 0.6268 0.8490
0.2222 0.3732 0.5954
0.5645 0.1732 0.3913
0.2182 0.8268 0.3913
0.9062 0.0000 0.9062
0.5492 0.7567 0.3059
0.5492 0.2433 0.7926
0.9193 0.5000 0.4193
```

---

Computed, not measured: crystalline Tb7Y12Ho at its relaxed geometry at the PBE level of DFT.

Values from the calculation:
E above lowest polymorph in eV/atom: 0.000

Structure (POSCAR):
```
Tb7Y12Ho
1.0
-3.0962 -2.9547 -7.6414
6.4881 -5.7973 -1.0015
-4.5166 -6.5095 3.7328
Y Tb Ho
12 7 1
direct
0.7304 0.8530 0.2560
0.8530 0.2560 0.7304
0.6158 0.1362 0.4972
0.7440 0.2696 0.1470
0.2560 0.7304 0.8530
0.4972 0.6158 0.1362
0.5028 0.3842 0.8638
0.3842 0.8638 0.5028
0.2696 0.1470 0.7440
0.8638 0.5028 0.3842
0.1362 0.4972 0.6158
0.1470 0.7440 0.2696
0.6038 0.9273 0.8483
0.0727 0.1517 0.3962
0.8483 0.6038 0.9273
0.9273 0.8483 0.6038
0.5000 0.5000 0.5000
0.1517 0.3962 0.0727
0.3962 0.0727 0.1517
0.0000 0.0000 0.0000
```

---

Computed, not measured: crystalline Ca2Zn2Au at its relaxed geometry at the PBE level of DFT.

Values from the calculation:
E above lowest polymorph in eV/atom: 0.319

Structure (POSCAR):
```
Ca2Zn2Au
1.0
8.0020 0.0000 0.0000
0.0000 8.0020 0.0000
0.0000 0.0000 4.2281
Au Ca Zn
2 4 4
direct
0.5000 0.5000 0.0000
0.0000 0.0000 0.0000
0.1760 0.3240 0.0000
0.6760 0.1760 0.0000
0.3240 0.8240 0.0000
0.8240 0.6760 0.0000
0.8831 0.3831 0.5000
0.6169 0.8831 0.5000
0.3831 0.1169 0.5000
0.1169 0.6169 0.5000
```

---

Computed, not measured: crystalline DyLuTlBi at its relaxed geometry at the PBE level of DFT.

Values from the calculation:
Uncorrected energy in eV per atom: -4.20

Structure (POSCAR):
```
DyLuTlBi
1.0
5.4085 0.0000 0.0000
2.7043 4.6839 0.0000
2.7043 1.5613 4.4160
Lu Bi Dy Tl
1 1 1 1
direct
0.7500 0.7500 0.7500
0.5000 0.5000 0.5000
0.2500 0.2500 0.2500
0.0000 0.0000 0.0000
```

---

Computed, not measured: crystalline Ho2GaC at its relaxed geometry at the PBE level of DFT.

Values from the calculation:
Uncorrected energy in eV per atom: -5.74

Structure (POSCAR):
```
Ho2GaC
1.0
-3.2644 1.4121 0.2150
-1.8363 0.7030 -2.9716
-4.7230 -6.3143 -0.7116
Ho Ga C
2 1 1
direct
0.2258 0.2258 0.3226
0.7742 0.7742 0.6774
0.0000 0.0000 0.0000
0.5000 0.5000 0.5000
```

---

Computed, not measured: crystalline ZrSb2Au at its relaxed geometry at the PBE level of DFT.

Values from the calculation:
Raw formation energy in meV/atom: -303.0

Structure (POSCAR):
```
ZrSb2Au
1.0
-1.2060 -3.5705 0.4339
0.3365 -0.6938 -4.7736
4.5723 -1.4791 0.5373
Sb Au Zr
2 1 1
direct
0.0000 0.5000 0.0000
0.0000 0.0000 0.5000
0.5000 0.0000 0.0000
0.5000 0.5000 0.5000
```

---

no.,volume (A^3/atom),mass density (Mg/m³)
1,36.24,8.2
2,23.06,8.3
3,27.96,7.9
4,24.07,5.5
5,15.67,11.0
6,19.98,7.9
7,44.05,5.9
8,33.41,5.8
9,27.07,5.0
10,27.97,11.1
11,21.02,8.1
12,22.18,10.0